1.
Density functional theory data (PBE) for crystalline SbH2Cl8 at its relaxed geometry.

Cell: 6.669 7.249 10.466 Å, 113.75 90.00 117.39°
Last column: magnetic moment on the atom in μB.
Element x y z (fractional)
Sb 0.000 0.000 0.000  0.00
Cl 0.743 0.487 0.489  0.17
Cl 0.899 0.298 0.097  0.00
Cl 0.019 0.038 0.779  0.00
Cl 0.601 0.702 0.903  0.00
H 0.156 0.311 0.395  0.00
H 0.844 0.689 0.605  0.00
Cl 0.101 0.702 0.903  0.00
Cl 0.399 0.298 0.097  0.00
Cl 0.257 0.513 0.511  0.17
Cl 0.981 0.962 0.221  0.00

Values from the calculation:
For the total energy, the calculation gives -30.7 eV per cell.


2.
Density functional theory data (PBE) for crystalline SnSb2HCl at its relaxed geometry.

Cell: 6.339 3.119 6.339 Å, 90.00 90.00 90.00°
Element x y z (fractional)
Sb 0.000 0.000 0.500
Cl 0.000 0.000 0.000
H 0.000 0.500 0.000
Sn 0.500 0.500 0.500
Sb 0.500 0.000 0.000

Values from the calculation:
For the total energy, the calculation gives -15.8 eV per cell.